# ScGa4Ni15 | Alexandria via LeMat-Bulk | PBE | optimized geometry
# formation energy from the elements = -310 meV/atom
# total moment = 3.49 μB/cell
# density of states at the Fermi level = 18.9 states/eV/f.u.
data_ScGa4Ni15
_cell_length_a 3.613
_cell_length_b 3.613
_cell_length_c 17.999
_cell_angle_alpha 90.00
_cell_angle_beta 90.00
_cell_angle_gamma 90.00
_space_group_name_H-M_alt 'P 4/m m m'
_space_group_IT_number 123
_space_group_name_Hall '-P 4 2'
loop_
_atom_site_label
_atom_site_fract_x
_atom_site_fract_y
_atom_site_fract_z
Sc1 0.000 0.000 0.000
Ga1 0.000 0.000 0.205
Ga2 0.000 0.000 0.401
Ni1 0.000 0.500 0.107
Ni2 0.000 0.500 0.303
Ni3 0.000 0.500 0.500
Ni4 0.500 0.500 0.000
Ni5 0.500 0.500 0.204
Ni6 0.500 0.500 0.401